Entry 1:
## HoTmSc2Sb4 (PBE-GGA)

Data for a relaxed HoTmSc2Sb4 crystal.

Unit cell a=4.2612 b=7.3792 c=7.3731 alpha=109.48 beta=90.00 gamma=90.00
With the nearest neighbours (Å) after each atom.
Positions (direct):
Ho 0.5000 0.5000 0.0000  6 Sb 3.07
Tm 0.0000 0.0000 0.0000  6 Sb 3.06
Sc 0.5000 0.0000 0.5000  6 Sb 2.96
Sc 0.0000 0.5000 0.5000  6 Sb 2.97
Sb 0.5000 0.2530 0.2623  3 Sc 2.96-2.97, 2 Tm 3.06, 1 Ho 3.07
Sb 0.5000 0.7470 0.7377  3 Sc 2.96-2.97, 2 Tm 3.06, 1 Ho 3.07
Sb 0.0000 0.2446 0.7370  3 Sc 2.96-2.97, 1 Tm 3.06, 2 Ho 3.07
Sb 0.0000 0.7554 0.2630  3 Sc 2.96-2.97, 1 Tm 3.06, 2 Ho 3.07

Computed properties:
Crystal system = monoclinic
Space group = P2/m, No. 10
M_tot = 0.0 μB/cell
E_form (uncorrected) = -8.1 eV per formula unit

---

Entry 2:
## TmGe2Pb (PBE-GGA)

Data for a relaxed TmGe2Pb crystal.

Unit cell a=4.1804 b=4.6767 c=4.6767 alpha=90.00 beta=90.00 gamma=90.00
With the nearest neighbours (Å) after each atom.
Positions (direct):
Pb 0.5000 0.5000 0.5000  8 Ge 3.14, 4 Tm 3.31
Ge 0.0000 0.0000 0.5000  4 Pb 3.14, 4 Tm 3.14, 4 Ge 3.31
Ge 0.0000 0.5000 0.0000  4 Pb 3.14, 4 Tm 3.14, 4 Ge 3.31
Tm 0.5000 0.0000 0.0000  8 Ge 3.14, 4 Pb 3.31

Computed properties:
Crystal system = tetragonal
Calculated formation energy = -261 meV per atom
Space group = P4/mmm, No. 123
M_tot = 0.0 μB/cell

---

Entry 3:
## PrPaSb2 (PBE-GGA)

Data for a relaxed PrPaSb2 crystal.

Unit cell a=5.4046 b=5.4046 c=5.4046 alpha=60.00 beta=60.00 gamma=60.00
With the nearest neighbours (Å) after each atom.
Positions (direct):
Pr 0.5000 0.5000 0.5000  8 Sb 3.31
Sb 0.2500 0.2500 0.2500  4 Pr 3.31, 4 Pa 3.31
Sb 0.7500 0.7500 0.7500  4 Pa 3.31, 4 Pr 3.31
Pa 0.0000 0.0000 0.0000  8 Sb 3.31

Computed properties:
Crystal system = cubic
E above lowest polymorph = 177 meV/atom
Space group = Fm-3m, No. 225
M_tot = 1.7 μB/cell
E_form (uncorrected) = -2.5 eV per formula unit

---

Entry 4:
## Ti8Al2In (PBE-GGA)

Data for a relaxed Ti8Al2In crystal.

Unit cell a=4.7615 b=7.4448 c=7.4448 alpha=120.74 beta=104.98 gamma=104.98
With the nearest neighbours (Å) after each atom.
Positions (direct):
Ti 0.8269 0.9018 0.6713  5 Ti 2.68-2.98, 2 Al 2.81-2.83
Ti 0.8269 0.6713 0.9018  5 Ti 2.68-2.98, 2 Al 2.81-2.83
Ti 0.2782 0.5738 0.5738  1 Ti 2.28
Ti 0.5000 0.7837 0.2163  2 Al 2.65, 1 In 2.80, 2 Ti 2.86
Ti 0.5000 0.2163 0.7837  2 Al 2.65, 1 In 2.80, 2 Ti 2.86
Ti 0.7218 0.4262 0.4262  1 Ti 2.28
Ti 0.1731 0.3287 0.0982  5 Ti 2.68-2.98, 2 Al 2.81-2.83
Ti 0.1731 0.0982 0.3287  5 Ti 2.68-2.98, 2 Al 2.81-2.83
Al 0.0000 0.3059 0.6941  8 Ti 2.65-2.83
Al 0.0000 0.6941 0.3059  8 Ti 2.65-2.83
In 0.5000 0.0000 0.0000  4 Ti 2.74-2.80

Computed properties:
Crystal system = monoclinic
Calculated formation energy = -48 meV per atom
Space group = C2/m, No. 12
M_tot = 0.0 μB/cell

---

Entry 5:
## Na3Sb2Pb (PBE-GGA)

Data for a relaxed Na3Sb2Pb crystal.

Unit cell a=4.4925 b=8.1279 c=9.8372 alpha=90.00 beta=90.00 gamma=90.00
With the nearest neighbours (Å) after each atom.
Positions (direct):
Na 0.0000 0.4539 0.9274  5 Sb 3.27-3.51, 4 Na 3.59-3.60
Na 0.0000 0.9539 0.0726  5 Sb 3.27-3.51, 4 Na 3.59-3.60
Na 0.5000 0.6310 0.1735  4 Sb 3.15-3.23, 2 Na 3.42
Na 0.5000 0.1310 0.8265  4 Sb 3.15-3.23, 2 Na 3.42
Na 0.0000 0.3723 0.3260  4 Sb 3.08-3.26, 2 Na 3.42
Na 0.0000 0.8723 0.6740  4 Sb 3.08-3.26, 2 Na 3.42
Sb 0.5000 0.7362 0.8655  1 Pb 3.11, 6 Na 3.13-3.27
Sb 0.5000 0.2362 0.1345  1 Pb 3.11, 6 Na 3.13-3.27
Sb 0.0000 0.2692 0.6272  5 Na 3.08-3.31, 2 Pb 3.14
Sb 0.0000 0.7692 0.3728  5 Na 3.08-3.31, 2 Pb 3.14
Pb 0.5000 0.5373 0.5960  3 Sb 3.11-3.14
Pb 0.5000 0.0373 0.4040  3 Sb 3.11-3.14

Computed properties:
Crystal system = orthorhombic
E above lowest polymorph = 0 meV/atom
Space group = Pmc2_1, No. 26
M_tot = 0.0 μB/cell
E_form (uncorrected) = -1.7 eV per formula unit

---

Entry 6:
## AcSi3Ni (PBE-GGA)

Data for a relaxed AcSi3Ni crystal.

Unit cell a=5.7033 b=5.7024 c=6.1351 alpha=90.00 beta=90.00 gamma=65.38
With the nearest neighbours (Å) after each atom.
Positions (direct):
Ac 0.0473 0.2498 0.0524  13 Si 3.23-3.45, 4 Ni 3.26-3.37
Ac 0.5133 0.7159 0.5524  13 Si 3.23-3.45, 4 Ni 3.26-3.37
Si 0.1539 0.3565 0.5524  1 Ni 2.43, 4 Si 2.62
Si 0.4067 0.6092 0.0524  1 Ni 2.43, 4 Si 2.62
Si 0.5637 0.1994 0.8024  2 Ni 2.34
Si 0.5637 0.1994 0.3024  2 Ni 2.34
Si 0.9968 0.7663 0.3024  2 Ni 2.34, 1 Si 2.62
Si 0.9968 0.7663 0.8024  2 Ni 2.34
Ni 0.9011 0.1037 0.5524  5 Si 2.34-2.43
Ni 0.6595 0.8620 0.0524  5 Si 2.34-2.43

Computed properties:
Crystal system = orthorhombic
E above lowest polymorph = 8 meV/atom
Space group = Cmcm, No. 63
M_tot = 0.0 μB/cell
E_form (uncorrected) = -2.9 eV per formula unit

---

Entry 7:
## Tb12Er6Tm (PBE-GGA)

Data for a relaxed Tb12Er6Tm crystal.

Unit cell a=8.5945 b=8.5945 c=8.5945 alpha=97.57 beta=97.57 gamma=97.57
With the nearest neighbours (Å) after each atom.
Positions (direct):
Tb 0.5892 0.1665 0.5892  5 Tb 3.16-3.44
Tb 0.1665 0.5892 0.5892  5 Tb 3.16-3.44
Tb 0.5892 0.5892 0.1665  5 Tb 3.16-3.44
Tb 0.4108 0.8335 0.4108  5 Tb 3.16-3.44
Tb 0.8335 0.4108 0.4108  5 Tb 3.16-3.44
Tb 0.4108 0.4108 0.8335  5 Tb 3.16-3.44
Tb 0.2636 0.0000 0.7364  4 Er 3.31-3.50, 6 Tb 3.41-3.54, 1 Tm 3.41
Tb 0.2636 0.7364 0.0000  4 Er 3.31-3.50, 6 Tb 3.41-3.54, 1 Tm 3.41
Tb 0.0000 0.2636 0.7364  4 Er 3.31-3.50, 1 Tm 3.41, 6 Tb 3.41-3.54
Tb 0.7364 0.0000 0.2636  4 Er 3.31-3.50, 6 Tb 3.41-3.54, 1 Tm 3.41
Tb 0.7364 0.2636 0.0000  4 Er 3.31-3.50, 6 Tb 3.41-3.54, 1 Tm 3.41
Tb 0.0000 0.7364 0.2636  4 Er 3.31-3.50, 1 Tm 3.41, 6 Tb 3.41-3.54
Er 0.1380 0.1380 0.4074  4 Tb 3.31-3.50, 2 Er 3.48, 1 Tm 3.54
Er 0.8620 0.5926 0.8620  4 Tb 3.31-3.50, 2 Er 3.48, 1 Tm 3.54
Er 0.5926 0.8620 0.8620  4 Tb 3.31-3.50, 2 Er 3.48, 1 Tm 3.54
Er 0.8620 0.8620 0.5926  4 Tb 3.31-3.50, 2 Er 3.48, 1 Tm 3.54
Er 0.1380 0.4074 0.1380  4 Tb 3.31-3.50, 2 Er 3.48, 1 Tm 3.54
Er 0.4074 0.1380 0.1380  4 Tb 3.31-3.50, 2 Er 3.48, 1 Tm 3.54
Tm 0.0000 0.0000 0.0000  6 Tb 3.41, 6 Er 3.54

Computed properties:
Crystal system = trigonal
E above lowest polymorph = 0 meV/atom
Calculated formation energy = 133 meV per atom
Space group = R-3m, No. 166
M_tot = 0.0 μB/cell

---

Entry 8:
## Ca5Al2Pb (PBE-GGA)

Data for a relaxed Ca5Al2Pb crystal.

Unit cell a=8.2053 b=8.2053 c=9.4948 alpha=115.60 beta=115.60 gamma=90.00
With the nearest neighbours (Å) after each atom.
Positions (direct):
Ca 0.5361 0.6831 0.7193  3 Al 3.21-3.24, 2 Pb 3.44
Ca 0.8169 0.9639 0.2807  3 Al 3.21-3.24, 2 Pb 3.44
Ca 0.0000 0.0000 0.0000  4 Al 3.31, 8 Ca 3.69
Ca 0.5000 0.5000 0.0000  4 Al 3.31, 8 Ca 3.69
Ca 0.1831 0.0361 0.7193  3 Al 3.21-3.24, 2 Pb 3.44
Ca 0.6831 0.1831 0.7193  3 Al 3.21-3.24, 2 Pb 3.44
Ca 0.0361 0.5361 0.7193  3 Al 3.21-3.24, 2 Pb 3.44
Ca 0.3169 0.8169 0.2807  3 Al 3.21-3.24, 2 Pb 3.44
Ca 0.9639 0.4639 0.2807  3 Al 3.21-3.24, 2 Pb 3.44
Ca 0.4639 0.3169 0.2807  3 Al 3.21-3.24, 2 Pb 3.44
Al 0.1120 0.3880 0.0000  1 Al 2.60
Al 0.6120 0.1120 0.0000  1 Al 2.60
Al 0.3880 0.8880 0.0000  1 Al 2.60
Al 0.8880 0.6120 0.0000  1 Al 2.60
Pb 0.7500 0.7500 0.5000  10 Ca 3.44-3.76
Pb 0.2500 0.2500 0.5000  10 Ca 3.44-3.76

Computed properties:
Crystal system = tetragonal
Calculated formation energy = -324 meV per atom
Space group = I4/mcm, No. 140
M_tot = 0.0 μB/cell

---

Entry 9:
## Sc2AlV2Co5 (PBE-GGA)

Data for a relaxed Sc2AlV2Co5 crystal.

Unit cell a=2.9371 b=9.6620 c=9.6620 alpha=90.00 beta=90.00 gamma=90.00
With the nearest neighbours (Å) after each atom.
Positions (direct):
Sc 0.0000 0.6722 0.1722  1 V 2.62, 6 Co 2.77-2.87
Sc 0.0000 0.3278 0.8278  1 V 2.62, 6 Co 2.77-2.87
Sc 0.0000 0.1722 0.3278  1 V 2.62, 6 Co 2.77-2.87
Sc 0.0000 0.8278 0.6722  1 V 2.62, 6 Co 2.77-2.87
Al 0.0000 0.0000 0.0000  8 Co 2.47
Al 0.0000 0.5000 0.5000  8 Co 2.47
V 0.0000 0.1362 0.6362  6 Co 2.32-2.37
V 0.0000 0.8638 0.3638  6 Co 2.32-2.37
V 0.0000 0.6362 0.8638  6 Co 2.32-2.37
V 0.0000 0.3638 0.1362  6 Co 2.32-2.37
Co 0.5000 0.2003 0.0486  2 V 2.32, 2 Al 2.47
Co 0.5000 0.7997 0.9514  2 V 2.32, 2 Al 2.47
Co 0.5000 0.0486 0.7997  2 V 2.32, 2 Al 2.47
Co 0.5000 0.7003 0.4514  2 V 2.32, 2 Al 2.47
Co 0.5000 0.9514 0.2003  2 V 2.32, 2 Al 2.47
Co 0.5000 0.2997 0.5486  2 V 2.32, 2 Al 2.47
Co 0.5000 0.5486 0.7003  2 V 2.32, 2 Al 2.47
Co 0.5000 0.4514 0.2997  2 V 2.32, 2 Al 2.47
Co 0.5000 0.5000 0.0000  4 V 2.37
Co 0.5000 0.0000 0.5000  4 V 2.37

Computed properties:
Crystal system = tetragonal
Calculated formation energy = -139 meV per atom
Space group = P4/mbm, No. 127
M_tot = 1.5 μB/cell

---

Entry 10:
## KLiCd2Cl6 (PBE-GGA)

Data for a relaxed KLiCd2Cl6 crystal.

Unit cell a=7.6983 b=9.4566 c=9.4566 alpha=89.72 beta=75.56 gamma=75.56
With the nearest neighbours (Å) after each atom.
Positions (direct):
K 0.2500 0.8817 0.1183  6 Cl 3.13-3.21
K 0.7500 0.1183 0.8817  6 Cl 3.13-3.21
Li 0.2500 0.1959 0.8041  4 Cl 2.38-2.44
Li 0.7500 0.8041 0.1959  4 Cl 2.38-2.44
Cd 0.3159 0.7638 0.6033  4 Cl 2.48-2.56
Cd 0.1841 0.3967 0.2362  4 Cl 2.48-2.56
Cd 0.6841 0.2362 0.3967  4 Cl 2.48-2.56
Cd 0.8159 0.6033 0.7638  4 Cl 2.48-2.56
Cl 0.1745 0.9605 0.8052  1 Li 2.44, 1 Cd 2.51
Cl 0.3255 0.1948 0.0395  1 Li 2.44, 1 Cd 2.51
Cl 0.8255 0.0395 0.1948  1 Li 2.44, 1 Cd 2.51
Cl 0.6745 0.8052 0.9605  1 Li 2.44, 1 Cd 2.51
Cl 0.4547 0.8574 0.3684  1 Li 2.38, 1 Cd 2.48
Cl 0.0453 0.6316 0.1426  1 Li 2.38, 1 Cd 2.48
Cl 0.5453 0.1426 0.6316  1 Li 2.38, 1 Cd 2.48
Cl 0.9547 0.3684 0.8574  1 Li 2.38, 1 Cd 2.48
Cl 0.0315 0.6944 0.5595  2 Cd 2.51-2.56
Cl 0.4685 0.4405 0.3056  2 Cd 2.51-2.56
Cl 0.9685 0.3056 0.4405  2 Cd 2.51-2.56
Cl 0.5315 0.5595 0.6944  2 Cd 2.51-2.56

Computed properties:
Crystal system = monoclinic
Space group = C2/c, No. 15
M_tot = 0.0 μB/cell
E_form (uncorrected) = -13.9 eV per formula unit

---

Entry 11:
## HgAsBr2 (PBE-GGA)

Data for a relaxed HgAsBr2 crystal.

Unit cell a=8.4072 b=8.4072 c=8.5007 alpha=60.36 beta=60.36 gamma=90.00
With the nearest neighbours (Å) after each atom.
Positions (direct):
As 0.5000 0.5000 0.0000  4 Br 2.59
As 0.2500 0.7500 0.5000  4 Br 2.59
Hg 0.0000 0.0000 0.0000  12 Br 4.94-5.02, 4 Hg 5.19, 4 As 5.19
Hg 0.7500 0.2500 0.5000  12 Br 4.94-5.02, 4 Hg 5.19, 4 As 5.19
Br 0.3756 0.1250 0.2500  2 As 2.59
Br 0.3744 0.6250 0.2500  2 As 2.59
Br 0.3750 0.6244 0.7500  2 As 2.59
Br 0.8750 0.6256 0.7500  2 As 2.59

Computed properties:
Crystal system = tetragonal
E above lowest polymorph = 121 meV/atom
Space group = I4_1/amd, No. 141
M_tot = 0.0 μB/cell
E_form (uncorrected) = 0.0 eV per formula unit

---

Entry 12:
## LiGdTaRu (PBE-GGA)

Data for a relaxed LiGdTaRu crystal.

Unit cell a=4.6855 b=4.6855 c=4.6855 alpha=60.00 beta=60.00 gamma=60.00
With the nearest neighbours (Å) after each atom.
Positions (direct):
Ru 0.7500 0.7500 0.7500  4 Gd 2.87, 4 Ta 2.87
Gd 0.5000 0.5000 0.5000  4 Li 2.87, 4 Ru 2.87
Li 0.2500 0.2500 0.2500  4 Ta 2.87, 4 Gd 2.87
Ta 0.0000 0.0000 0.0000  4 Ru 2.87, 4 Li 2.87

Computed properties:
Crystal system = cubic
Calculated formation energy = 41 meV per atom
Space group = F-43m, No. 216
M_tot = 7.0 μB/cell